No. 1
# PBE TaCdBr2, optimized geometry
# SG: P4mm
# M_tot: 0.255 μB/atom
# Energy above the most stable polymorph in this dataset: 244 meV per atom
data_TaCdBr2
_cell_length_a 3.299
_cell_length_b 3.299
_cell_length_c 8.592
_cell_angle_alpha 90.00
_cell_angle_beta 90.00
_cell_angle_gamma 90.00
_symmetry_space_group_name_H-M 'P 1'
_symmetry_Int_Tables_number 1
_symmetry_space_group_name_Hall 'P 1'
loop_
_atom_site_label
_atom_site_type_symbol
_atom_site_fract_x
_atom_site_fract_y
_atom_site_fract_z
Ta1 Ta 0.000 0.000 0.000
Cd1 Cd 0.500 0.500 0.760
Br1 Br 0.000 0.000 0.546
Br2 Br 0.500 0.500 0.177



No. 2
# PBE Ta2CdBr, optimized geometry
# SG: Fm-3m
# M_tot: 0.000 μB/atom
# Energy above the most stable polymorph in this dataset: 723 meV per atom
data_Ta2CdBr
_cell_length_a 6.696
_cell_length_b 6.696
_cell_length_c 6.696
_cell_angle_alpha 90.00
_cell_angle_beta 90.00
_cell_angle_gamma 90.00
_symmetry_space_group_name_H-M 'P 1'
_symmetry_Int_Tables_number 1
_symmetry_space_group_name_Hall 'P 1'
loop_
_atom_site_label
_atom_site_type_symbol
_atom_site_fract_x
_atom_site_fract_y
_atom_site_fract_z
Ta1 Ta 0.250 0.250 0.250
Ta2 Ta 0.250 0.250 0.750
Ta3 Ta 0.250 0.750 0.250
Ta4 Ta 0.250 0.750 0.750
Ta5 Ta 0.750 0.250 0.250
Ta6 Ta 0.750 0.250 0.750
Ta7 Ta 0.750 0.750 0.250
Ta8 Ta 0.750 0.750 0.750
Cd1 Cd 0.000 0.000 0.000
Cd2 Cd 0.000 0.500 0.500
Cd3 Cd 0.500 0.000 0.500
Cd4 Cd 0.500 0.500 0.000
Br1 Br 0.000 0.000 0.500
Br2 Br 0.000 0.500 0.000
Br3 Br 0.500 0.000 0.000
Br4 Br 0.500 0.500 0.500



No. 3
# PBE Ta2CdBr, optimized geometry
# SG: P4/mmm
# M_tot: 0.000 μB/atom
# Energy above the most stable polymorph in this dataset: 499 meV per atom
data_Ta2CdBr
_cell_length_a 3.061
_cell_length_b 3.061
_cell_length_c 7.916
_cell_angle_alpha 90.00
_cell_angle_beta 90.00
_cell_angle_gamma 90.00
_symmetry_space_group_name_H-M 'P 1'
_symmetry_Int_Tables_number 1
_symmetry_space_group_name_Hall 'P 1'
loop_
_atom_site_label
_atom_site_type_symbol
_atom_site_fract_x
_atom_site_fract_y
_atom_site_fract_z
Ta1 Ta 0.000 0.000 0.234
Ta2 Ta 0.000 0.000 0.766
Cd1 Cd 0.500 0.500 0.500
Br1 Br 0.500 0.500 0.000



| no. | Fermi-level density of states (states/eV/cell) | formation energy from raw total energies (eV per atom) |
| --- | --- | --- |
| 1 | 0.4 | 0.0344 |
| 2 | 36.0 | 0.8687 |
| 3 | 2.9 | 0.6450 |